# 1
# KSn6Te8

KSn6Te8 after structural relaxation (GGA-PBE, the Alexandria database).

Cell and atoms, written as CIF:
```
data_KSn6Te8
_chemical_formula_sum 'K1 Sn6 Te8'
_symmetry_space_group_name_H-M 'P 1'
_symmetry_Int_Tables_number 1
_cell_length_a 4.565
_cell_length_b 11.619
_cell_length_c 11.619
_cell_angle_alpha 120.00
_cell_angle_beta 90.00
_cell_angle_gamma 90.00
loop_
_symmetry_equiv_pos_as_xyz
'x,y,z'
loop_
_atom_site_label
_atom_site_type_symbol
_atom_site_fract_x
_atom_site_fract_y
_atom_site_fract_z
_atom_site_occupancy
K1 K 0.500 0.000 0.000 1
Sn1 Sn 0.748 0.518 0.654 1
Sn2 Sn 0.748 0.346 0.864 1
Sn3 Sn 0.748 0.136 0.482 1
Sn4 Sn 0.252 0.482 0.346 1
Sn5 Sn 0.252 0.654 0.136 1
Sn6 Sn 0.252 0.864 0.518 1
Te1 Te 0.751 0.659 0.967 1
Te2 Te 0.751 0.033 0.693 1
Te3 Te 0.751 0.307 0.341 1
Te4 Te 0.249 0.341 0.033 1
Te5 Te 0.249 0.967 0.307 1
Te6 Te 0.249 0.693 0.659 1
Te7 Te 0.750 0.667 0.333 1
Te8 Te 0.250 0.333 0.667 1
```

## Properties
Formation energy (no corrections) in eV per atom: -0.311
ρ in Mg/m³: 5.51
Space-group type: P-3, No. 147
Magnetization in μB/cell: 0.0
N(E_F) in states/eV/f.u.: 5.45

=====

# 2
# Na2TbTc2N4

Na2TbTc2N4 after structural relaxation (GGA-PBE, the Alexandria database).

Cell and atoms, written as CIF:
```
data_Na2TbTc2N4
_chemical_formula_sum 'Na2 Tb1 Tc2 N4'
_symmetry_space_group_name_H-M 'P 1'
_symmetry_Int_Tables_number 1
_cell_length_a 3.422
_cell_length_b 7.152
_cell_length_c 8.678
_cell_angle_alpha 136.63
_cell_angle_beta 90.00
_cell_angle_gamma 103.84
loop_
_symmetry_equiv_pos_as_xyz
'x,y,z'
loop_
_atom_site_label
_atom_site_type_symbol
_atom_site_fract_x
_atom_site_fract_y
_atom_site_fract_z
_atom_site_occupancy
Na1 Na 0.842 0.684 0.447 1
Na2 Na 0.158 0.316 0.553 1
Tb1 Tb 0.000 0.000 0.000 1
Tc1 Tc 0.351 0.703 0.080 1
Tc2 Tc 0.649 0.297 0.920 1
N1 N 0.780 0.561 0.884 1
N2 N 0.220 0.439 0.116 1
N3 N 0.544 0.089 0.241 1
N4 N 0.456 0.911 0.759 1
```

## Properties
Formation energy (no corrections) in eV per atom: -0.413
ρ in Mg/m³: 5.55
Space-group type: C2/m, No. 12
Magnetization in μB/cell: 0.0
N(E_F) in states/eV/f.u.: 3.10

=====

# 3
# ReTc

ReTc after structural relaxation (GGA-PBE, the Alexandria database).

Cell and atoms, written as CIF:
```
data_ReTc
_chemical_formula_sum 'Re2 Tc2'
_symmetry_space_group_name_H-M 'P 1'
_symmetry_Int_Tables_number 1
_cell_length_a 3.951
_cell_length_b 3.951
_cell_length_c 5.102
_cell_angle_alpha 90.00
_cell_angle_beta 90.00
_cell_angle_gamma 120.00
loop_
_symmetry_equiv_pos_as_xyz
'x,y,z'
loop_
_atom_site_label
_atom_site_type_symbol
_atom_site_fract_x
_atom_site_fract_y
_atom_site_fract_z
_atom_site_occupancy
Re1 Re 0.333 0.667 0.250 1
Re2 Re 0.667 0.333 0.750 1
Tc1 Tc 0.000 0.000 0.000 1
Tc2 Tc 0.000 0.000 0.500 1
```

## Properties
ρ in Mg/m³: 13.69
Calculated formation energy in eV/atom: 0.95
Distance to the lowest polymorph of the same formula in eV/f.u.: 1.915
Space-group type: P6_3/mmc, No. 194
Magnetization in μB/cell: 0.0
N(E_F) in states/eV/f.u.: 2.65

=====

# 4
# HoCdAg2

HoCdAg2 after structural relaxation (GGA-PBE, the Alexandria database).

Cell and atoms, written as CIF:
```
data_HoCdAg2
_chemical_formula_sum 'Ho1 Cd1 Ag2'
_symmetry_space_group_name_H-M 'P 1'
_symmetry_Int_Tables_number 1
_cell_length_a 3.572
_cell_length_b 3.572
_cell_length_c 6.790
_cell_angle_alpha 90.00
_cell_angle_beta 90.00
_cell_angle_gamma 90.00
loop_
_symmetry_equiv_pos_as_xyz
'x,y,z'
loop_
_atom_site_label
_atom_site_type_symbol
_atom_site_fract_x
_atom_site_fract_y
_atom_site_fract_z
_atom_site_occupancy
Ho1 Ho 0.500 0.500 0.000 1
Ag1 Ag 0.000 0.000 0.740 1
Ag2 Ag 0.000 0.000 0.260 1
Cd1 Cd 0.500 0.500 0.500 1
```

## Properties
ρ in Mg/m³: 9.45
Calculated formation energy in eV/atom: -0.20
Distance to the lowest polymorph of the same formula in eV/f.u.: 0.306
Space-group type: P4/mmm, No. 123
Magnetization in μB/cell: 0.0
N(E_F) in states/eV/f.u.: 2.29

=====

# 5
# PuThPb6

PuThPb6 after structural relaxation (GGA-PBE, the Alexandria database).

Cell and atoms, written as CIF:
```
data_PuThPb6
_chemical_formula_sum 'Pu1 Th1 Pb6'
_symmetry_space_group_name_H-M 'P 1'
_symmetry_Int_Tables_number 1
_cell_length_a 5.755
_cell_length_b 5.755
_cell_length_c 7.289
_cell_angle_alpha 90.00
_cell_angle_beta 90.00
_cell_angle_gamma 90.00
loop_
_symmetry_equiv_pos_as_xyz
'x,y,z'
loop_
_atom_site_label
_atom_site_type_symbol
_atom_site_fract_x
_atom_site_fract_y
_atom_site_fract_z
_atom_site_occupancy
Pu1 Pu 0.000 0.000 0.500 1
Th1 Th 0.000 0.000 0.000 1
Pb1 Pb 0.500 0.500 0.000 1
Pb2 Pb 0.500 0.500 0.500 1
Pb3 Pb 0.500 0.000 0.254 1
Pb4 Pb 0.500 0.000 0.746 1
Pb5 Pb 0.000 0.500 0.254 1
Pb6 Pb 0.000 0.500 0.746 1
```

## Properties
ρ in Mg/m³: 11.82
Calculated formation energy in eV/atom: -0.09
Space-group type: P4/mmm, No. 123
Magnetization in μB/cell: 5.6
N(E_F) in states/eV/f.u.: 12.87

=====

# 6
# BaLa2Cu

BaLa2Cu after structural relaxation (GGA-PBE, the Alexandria database).

Cell and atoms, written as CIF:
```
data_BaLa2Cu
_chemical_formula_sum 'Ba1 La2 Cu1'
_symmetry_space_group_name_H-M 'P 1'
_symmetry_Int_Tables_number 1
_cell_length_a 7.032
_cell_length_b 7.032
_cell_length_c 3.770
_cell_angle_alpha 76.54
_cell_angle_beta 76.54
_cell_angle_gamma 123.34
loop_
_symmetry_equiv_pos_as_xyz
'x,y,z'
loop_
_atom_site_label
_atom_site_type_symbol
_atom_site_fract_x
_atom_site_fract_y
_atom_site_fract_z
_atom_site_occupancy
Ba1 Ba 0.500 0.000 0.500 1
Cu1 Cu 0.000 0.500 0.500 1
La1 La 0.000 0.000 0.000 1
La2 La 0.500 0.500 0.000 1
```

## Properties
ρ in Mg/m³: 5.86
Calculated formation energy in eV/atom: 0.31
Distance to the lowest polymorph of the same formula in eV/f.u.: 1.185
Space-group type: C2/m, No. 12
Magnetization in μB/cell: 0.0
N(E_F) in states/eV/f.u.: 5.04

=====

# 7
# NaAcPtPb

NaAcPtPb after structural relaxation (GGA-PBE, the Alexandria database).

Cell and atoms, written as CIF:
```
data_NaAcPtPb
_chemical_formula_sum 'Na1 Ac1 Pt1 Pb1'
_symmetry_space_group_name_H-M 'P 1'
_symmetry_Int_Tables_number 1
_cell_length_a 5.216
_cell_length_b 5.216
_cell_length_c 5.216
_cell_angle_alpha 60.00
_cell_angle_beta 60.00
_cell_angle_gamma 60.00
loop_
_symmetry_equiv_pos_as_xyz
'x,y,z'
loop_
_atom_site_label
_atom_site_type_symbol
_atom_site_fract_x
_atom_site_fract_y
_atom_site_fract_z
_atom_site_occupancy
Pb1 Pb 0.500 0.500 0.500 1
Na1 Na 0.250 0.250 0.250 1
Ac1 Ac 0.000 0.000 0.000 1
Pt1 Pt 0.750 0.750 0.750 1
```

## Properties
ρ in Mg/m³: 10.80
Calculated formation energy in eV/atom: -0.49
Space-group type: F-43m, No. 216
Magnetization in μB/cell: 0.0
N(E_F) in states/eV/f.u.: 0.55